No. 1
Compound: Pm8Nd3Tm4
Source: the Alexandria database
Functional: PBE-GGA
Structure: optimized geometry

Lattice parameters (Å, degrees): 6.8647 9.3790 9.3790 81.63 112.98 112.98
Atoms (fractional coordinates):
Pm1 0.8177 0.7570 0.7570
Pm2 0.5000 0.2464 0.7536
Pm3 0.0000 0.7056 0.2944
Pm4 0.7608 0.2965 0.2965
Pm5 0.1823 0.2430 0.2430
Pm6 0.0000 0.2944 0.7056
Pm7 0.2392 0.7035 0.7035
Pm8 0.5000 0.7536 0.2464
Tm1 0.0000 0.5000 0.0000
Tm2 0.0000 0.0000 0.0000
Tm3 0.5000 0.0000 0.0000
Tm4 0.0000 0.0000 0.5000
Nd1 0.5000 0.5000 0.5000
Nd2 0.5000 0.0000 0.5000
Nd3 0.5000 0.5000 0.0000

Calculated values
Its space group is C2/m. As for the crystal system: monoclinic. The calculated formation energy comes out at 0.340 eV/atom.

No. 2
Compound: Pm10Nd4Tm
Source: the Alexandria database
Functional: PBE-GGA
Structure: optimized geometry

Lattice parameters (Å, degrees): 7.9512 9.0770 9.0770 78.94 64.02 64.02
Atoms (fractional coordinates):
Pm1 0.7105 0.7892 0.2109
Pm2 0.2893 0.7892 0.2109
Pm3 0.2500 0.5000 0.5000
Pm4 0.0785 0.2109 0.2108
Pm5 0.2895 0.2108 0.7891
Pm6 0.4997 0.2109 0.2108
Pm7 0.5003 0.7891 0.7892
Pm8 0.7107 0.2108 0.7891
Pm9 0.9215 0.7891 0.7892
Pm10 0.7500 0.5000 0.5000
Nd1 0.7718 0.4564 0.0000
Nd2 0.2282 0.5436 0.0000
Nd3 0.7718 0.0000 0.4564
Nd4 0.2282 0.0000 0.5436
Tm1 0.0000 0.0000 0.0000

Calculated values
Its space group is I4/mmm. As for the crystal system: tetragonal. The calculated formation energy comes out at 0.228 eV/atom.

No. 3
Compound: PmNd3Tm7
Source: the Alexandria database
Functional: PBE-GGA
Structure: optimized geometry

Lattice parameters (Å, degrees): 8.6638 7.0230 7.0230 120.00 90.00 90.00
Atoms (fractional coordinates):
Nd1 0.7845 0.9993 0.4996
Nd2 0.7845 0.5004 0.0007
Nd3 0.7845 0.5004 0.4996
Tm1 0.4434 0.3348 0.1674
Tm2 0.1212 0.1669 0.8331
Tm3 0.1227 0.6667 0.3333
Tm4 0.1212 0.6661 0.8331
Tm5 0.4434 0.8326 0.6652
Tm6 0.4434 0.8326 0.1674
Tm7 0.1212 0.1669 0.3339
Pm1 0.4448 0.3333 0.6667

Calculated values
Its space group is P3m1. As for the crystal system: trigonal. For the energy above the most stable polymorph in this dataset, the calculation gives 23 meV per atom. The calculated formation energy comes out at 0.181 eV/atom.

No. 4
Compound: Pm7NdTm3
Source: the Alexandria database
Functional: PBE-GGA
Structure: optimized geometry

Lattice parameters (Å, degrees): 8.6417 7.1823 7.1823 120.00 90.00 90.00
Atoms (fractional coordinates):
Pm1 0.1081 0.1673 0.8327
Pm2 0.1081 0.6655 0.8327
Pm3 0.4581 0.3347 0.1673
Pm4 0.1081 0.1673 0.3345
Pm5 0.1240 0.6667 0.3333
Pm6 0.4581 0.8327 0.6653
Pm7 0.4581 0.8327 0.1673
Tm1 0.7835 0.5002 0.4998
Tm2 0.7835 0.5002 0.0003
Tm3 0.7835 0.9997 0.4998
Nd1 0.4419 0.3333 0.6667

Calculated values
Its space group is P3m1. As for the crystal system: trigonal. For the energy above the most stable polymorph in this dataset, the calculation gives 16 meV per atom. The calculated formation energy comes out at 0.191 eV/atom.

No. 5
Compound: PmNd5Tm2
Source: the Alexandria database
Functional: PBE-GGA
Structure: optimized geometry

Lattice parameters (Å, degrees): 5.1243 7.2508 14.5022 90.00 90.00 90.00
Atoms (fractional coordinates):
Tm1 0.5000 0.7498 0.8753
Tm2 0.5000 0.7502 0.3753
Tm3 0.5000 0.2498 0.6247
Tm4 0.5000 0.2502 0.1247
Nd1 0.0000 0.5000 0.5000
Nd2 0.5000 0.7503 0.6249
Nd3 0.5000 0.7497 0.1249
Nd4 0.0000 0.4999 0.7503
Nd5 0.5000 0.2497 0.3751
Nd6 0.0000 0.5001 0.2497
Nd7 0.0000 0.0001 0.2503
Nd8 0.0000 0.9999 0.7497
Nd9 0.5000 0.2503 0.8751
Nd10 0.0000 0.0000 0.0000
Pm1 0.0000 0.0000 0.5000
Pm2 0.0000 0.5000 0.0000

Calculated values
Its space group is Pbam. As for the crystal system: orthorhombic. The calculated formation energy comes out at 0.012 eV/atom.

No. 6
Compound: Pm2Nd2Tm7
Source: the Alexandria database
Functional: PBE-GGA
Structure: optimized geometry

Lattice parameters (Å, degrees): 6.0564 8.0571 8.0571 91.70 73.53 73.53
Atoms (fractional coordinates):
Tm1 0.1770 0.5895 0.0654
Tm2 0.8230 0.4105 0.9346
Tm3 0.5752 0.7671 0.7671
Tm4 0.8230 0.9346 0.4105
Tm5 0.4248 0.2329 0.2329
Tm6 0.1770 0.0654 0.5895
Tm7 0.0000 0.0000 0.0000
Nd1 0.1884 0.5994 0.5994
Nd2 0.8116 0.4006 0.4006
Pm1 0.5000 0.7910 0.2090
Pm2 0.5000 0.2090 0.7910

Calculated values
Its space group is C2/m. As for the crystal system: monoclinic. The calculated formation energy comes out at 0.152 eV/atom.

No. 7
Compound: Pm6Nd2Tm5
Source: the Alexandria database
Functional: PBE-GGA
Structure: optimized geometry

Lattice parameters (Å, degrees): 3.6275 11.7808 20.3624 90.00 90.00 90.00
Atoms (fractional coordinates):
Tm1 0.5000 0.5953 0.2775
Tm2 0.5000 0.5000 0.0000
Tm3 0.5000 0.3002 0.4452
Tm4 0.5000 0.0000 0.5000
Tm5 0.5000 0.1998 0.9452
Tm6 0.5000 0.6998 0.5548
Tm7 0.5000 0.4047 0.7225
Tm8 0.5000 0.0953 0.2225
Tm9 0.5000 0.9047 0.7775
Tm10 0.5000 0.8002 0.0548
Pm1 0.0000 0.9198 0.6350
Pm2 0.0000 0.5802 0.1350
Pm3 0.0000 0.0579 0.0777
Pm4 0.5000 0.1769 0.6261
Pm5 0.0000 0.4421 0.5777
Pm6 0.0000 0.0802 0.3650
Pm7 0.5000 0.8231 0.3739
Pm8 0.0000 0.4198 0.8650
Pm9 0.5000 0.6769 0.8739
Pm10 0.0000 0.9421 0.9223
Pm11 0.0000 0.5579 0.4223
Pm12 0.5000 0.3231 0.1261
Nd1 0.0000 0.1652 0.7845
Nd2 0.0000 0.8348 0.2155
Nd3 0.0000 0.3348 0.2845
Nd4 0.0000 0.6652 0.7155

Calculated values
Its space group is Pbam. As for the crystal system: orthorhombic. The calculated formation energy comes out at 0.102 eV/atom.

No. 8
Compound: Pm3Nd6Tm2
Source: the Alexandria database
Functional: PBE-GGA
Structure: optimized geometry

Lattice parameters (Å, degrees): 4.8229 4.8229 17.2443 98.04 98.04 90.00
Atoms (fractional coordinates):
Nd1 0.6190 0.1190 0.2381
Nd2 0.3810 0.8810 0.7619
Nd3 0.1190 0.6190 0.2381
Nd4 0.7007 0.7007 0.4013
Nd5 0.2993 0.2993 0.5987
Nd6 0.8810 0.3810 0.7619
Pm1 0.1976 0.1976 0.3952
Pm2 0.0000 0.0000 0.0000
Pm3 0.8024 0.8024 0.6048
Tm1 0.4548 0.4548 0.9096
Tm2 0.5452 0.5452 0.0904

Calculated values
Its space group is I4/mmm. As for the crystal system: tetragonal. For the energy above the most stable polymorph in this dataset, the calculation gives 263 meV per atom. The calculated formation energy comes out at 0.279 eV/atom.

no.,theoretical density (Mg/m³)
1,7.36
2,6.89
3,7.90
4,7.17
5,7.42
6,8.15
7,7.65
8,6.92